An optimized crystal structure of HfZn3Br, computed with GGA-PBEsol.

Cell and atoms, written as CIF:
```
data_HfZn3Br
_symmetry_space_group_name_H-M 'P m -3 m'
_symmetry_Int_Tables_number 221
_symmetry_space_group_name_Hall '-P 4 2 3'
_cell_length_a 4.780
_cell_length_b 4.780
_cell_length_c 4.780
_cell_angle_alpha 90.00
_cell_angle_beta 90.00
_cell_angle_gamma 90.00
loop_
_atom_site_label
_atom_site_type_symbol
_atom_site_fract_x
_atom_site_fract_y
_atom_site_fract_z
_atom_site_occupancy
Hf1 Hf 0.000 0.000 0.000 1
Zn1 Zn 0.000 0.500 0.500 1
Br1 Br 0.500 0.500 0.500 1
```

Values from the calculation:
- total moment (μB per formula unit) = 0.00
- formation energy from raw total energies (kJ/mol of atoms) = 106.2
- uncorrected energy (eV/cell) = -11.6